[1]
## AsN (PBE)

Data for an optimized crystal structure of AsN.

Density ... 4.512 Mg/m³
Formation energy (no corrections) ... 0.64 eV per atom
Electronic total energy ... -5.84 eV per atom
Excess energy over the best structure of this formula in the dataset ... 634.6 meV per atom
Total moment ... 0.00 μB/f.u.

Cell lengths 7.0219, 7.0219, 4.5983 Å; angles 90.00, 90.00, 120.00 degrees
Closest atoms and distances in Å follow each position.
Atoms (fractional coordinates):
As  0.0688  0.6953  0.2500  2 N 1.87
As  0.3047  0.3734  0.2500  2 N 1.87
As  0.3734  0.0688  0.7500  2 N 1.87
As  0.6266  0.9312  0.2500  2 N 1.87
As  0.6953  0.6266  0.7500  2 N 1.87
As  0.9312  0.3047  0.7500  2 N 1.87
N  0.0711  0.4296  0.2500  2 As 1.87
N  0.3585  0.9289  0.2500  2 As 1.87
N  0.4296  0.3585  0.7500  2 As 1.87
N  0.5704  0.6415  0.2500  2 As 1.87
N  0.6415  0.0711  0.7500  2 As 1.87
N  0.9289  0.5704  0.7500  2 As 1.87

***

[2]
## TcIr3Ru2 (PBE)

Data for an optimized crystal structure of TcIr3Ru2.

Density ... 16.371 Mg/m³
Electronic total energy ... -9.15 eV per atom
Excess energy over the best structure of this formula in the dataset ... 175.0 meV per atom
DFT formation energy ... 0.097 eV/atom
Total moment ... 0.00 μB/f.u.

Cell lengths 2.7300, 7.8465, 8.9383 Å; angles 70.28, 81.25, 89.99 degrees
Closest atoms and distances in Å follow each position.
Atoms (fractional coordinates):
Tc  0.1724  0.0376  0.1569  3 Ru 2.55-2.63, 5 Ir 2.61-2.70, 2 Tc 2.73
Tc  0.8276  0.9624  0.8431  3 Ru 2.55-2.63, 5 Ir 2.61-2.70, 2 Tc 2.73
Ir  0.0627  0.4306  0.3757  3 Ru 2.55-2.72, 8 Ir 2.68-2.84
Ir  0.2035  0.7356  0.0935  3 Ru 2.61-2.77, 3 Tc 2.61-2.69, 5 Ir 2.73-2.80
Ir  0.4289  0.2462  0.6430  8 Ir 2.68-2.84, 2 Tc 2.69-2.70, 1 Ru 2.84
Ir  0.5711  0.7538  0.3570  8 Ir 2.68-2.84, 2 Tc 2.69-2.70, 1 Ru 2.84
Ir  0.7965  0.2644  0.9065  3 Ru 2.61-2.77, 3 Tc 2.61-2.69, 5 Ir 2.73-2.80
Ir  0.9373  0.5694  0.6243  3 Ru 2.55-2.72, 8 Ir 2.68-2.84
Ru  0.1970  0.3777  0.1061  1 Tc 2.55, 4 Ir 2.55-2.77, 6 Ru 2.57-2.81
Ru  0.4333  0.8660  0.6307  5 Ru 2.54-2.81, 2 Tc 2.63, 3 Ir 2.71-2.84
Ru  0.5667  0.1340  0.3693  5 Ru 2.54-2.81, 2 Tc 2.63, 3 Ir 2.71-2.84
Ru  0.8030  0.6223  0.8939  1 Tc 2.55, 4 Ir 2.55-2.77, 6 Ru 2.57-2.81

***

[3]
## SbOs3 (PBE)

Data for an optimized crystal structure of SbOs3.

Density ... 17.019 Mg/m³
Formation energy (no corrections) ... 1.02 eV per atom
Electronic total energy ... -8.43 eV per atom
Total moment ... 0.00 μB/f.u.

Cell lengths 2.8529, 2.8529, 9.6524 Å; angles 90.00, 90.00, 120.68 degrees
Closest atoms and distances in Å follow each position.
Atoms (fractional coordinates):
Sb  0.0000  0.0000  0.0000  6 Sb 2.82-2.85, 4 Os 2.98
Os  0.0000  0.0000  0.5000  10 Os 2.62-2.85
Os  0.5000  0.5000  0.2716  8 Os 2.62-2.85
Os  0.5000  0.5000  0.7284  8 Os 2.62-2.85

***

[4]
## Pr4SbTe (PBE)

Data for an optimized crystal structure of Pr4SbTe.

Density ... 6.753 Mg/m³
Formation energy (no corrections) ... -0.65 eV per atom
Electronic total energy ... -5.04 eV per atom
Total moment ... 0.00 μB/f.u.

Cell lengths 4.9050, 4.9050, 8.7148 Å; angles 90.40, 90.40, 72.47 degrees
Closest atoms and distances in Å follow each position.
Atoms (fractional coordinates):
Pr  0.1433  0.1433  0.1438  3 Sb 3.10-3.35, 1 Te 3.31, 3 Pr 3.36-3.44
Pr  0.3539  0.3539  0.6437  3 Te 3.06-3.37, 1 Sb 3.30, 1 Pr 3.42
Pr  0.6461  0.6461  0.3563  3 Te 3.06-3.37, 1 Sb 3.30, 1 Pr 3.42
Pr  0.8567  0.8567  0.8562  3 Sb 3.10-3.35, 1 Te 3.31, 3 Pr 3.36-3.44
Sb  0.5000  0.5000  0.0000  8 Pr 3.10-3.35
Te  0.0000  0.0000  0.5000  8 Pr 3.06-3.37

***

[5]
## BiSb2Pd7 (PBE)

Data for an optimized crystal structure of BiSb2Pd7.

Density ... 10.476 Mg/m³
Formation energy (no corrections) ... -0.33 eV per atom
Electronic total energy ... -5.18 eV per atom
Excess energy over the best structure of this formula in the dataset ... 0.0 meV per atom
Total moment ... 0.00 μB/f.u.

Cell lengths 11.5867, 11.5867, 11.5867 Å; angles 159.55, 159.55, 29.08 degrees
Closest atoms and distances in Å follow each position.
Atoms (fractional coordinates):
Bi  0.0000  0.0000  0.0000  12 Pd 2.91-2.96
Sb  0.3294  0.3294  0.0000  8 Pd 2.66-2.72
Sb  0.6706  0.6706  0.0000  8 Pd 2.66-2.72
Pd  0.0952  0.5952  0.5000  2 Sb 2.66, 6 Pd 2.91-2.96, 2 Bi 2.96
Pd  0.2500  0.7500  0.5000  4 Sb 2.72, 4 Pd 2.91
Pd  0.4048  0.9048  0.5000  2 Sb 2.66, 6 Pd 2.91-2.96, 2 Bi 2.96
Pd  0.5000  0.5000  0.0000  4 Bi 2.91, 8 Pd 2.96
Pd  0.5952  0.0952  0.5000  2 Sb 2.66, 6 Pd 2.91-2.96, 2 Bi 2.96
Pd  0.7500  0.2500  0.5000  4 Sb 2.72, 4 Pd 2.91
Pd  0.9048  0.4048  0.5000  2 Sb 2.66, 6 Pd 2.91-2.96, 2 Bi 2.96

***

[6]
## NdGdNi4 (PBE)

Data for an optimized crystal structure of NdGdNi4.

Density ... 9.299 Mg/m³
Electronic total energy ... -7.36 eV per atom
DFT formation energy ... -0.363 eV/atom
Total moment ... 7.08 μB/f.u.

Cell lengths 5.1353, 5.1353, 5.1353 Å; angles 60.00, 60.00, 60.00 degrees
Closest atoms and distances in Å follow each position.
Atoms (fractional coordinates):
Nd  0.0000  0.0000  0.0000  12 Ni 3.01, 4 Gd 3.14
Gd  0.7500  0.7500  0.7500  12 Ni 3.01, 4 Nd 3.14
Ni  0.3755  0.3755  0.3755  6 Ni 2.56-2.58
Ni  0.3755  0.3755  0.8734  6 Ni 2.56-2.58
Ni  0.3755  0.8734  0.3755  6 Ni 2.56-2.58
Ni  0.8734  0.3755  0.3755  6 Ni 2.56-2.58

***

[7]
## La2SbSe (PBE)

Data for an optimized crystal structure of La2SbSe.

Density ... 6.970 Mg/m³
Formation energy (no corrections) ... -1.38 eV per atom
Electronic total energy ... -5.75 eV per atom
Excess energy over the best structure of this formula in the dataset ... 263.3 meV per atom
Total moment ... 0.00 μB/f.u.

Cell lengths 3.8136, 3.8136, 7.8752 Å; angles 90.00, 90.00, 95.55 degrees
Closest atoms and distances in Å follow each position.
Atoms (fractional coordinates):
La  0.0000  0.0000  0.2441  4 Se 3.20-3.42, 4 Sb 3.26-3.47
La  0.0000  0.0000  0.7559  4 Se 3.20-3.42, 4 Sb 3.26-3.47
Sb  0.5000  0.5000  0.5000  8 La 3.26-3.47
Se  0.5000  0.5000  0.0000  8 La 3.20-3.42

***

[8]
## KRe2IrPt (PBE)

Data for an optimized crystal structure of KRe2IrPt.

Density ... 11.109 Mg/m³
Electronic total energy ... -6.51 eV per atom
DFT formation energy ... 1.665 eV/atom
Total moment ... 3.71 μB/f.u.

Cell lengths 4.7967, 4.7967, 5.1894 Å; angles 90.00, 90.00, 90.00 degrees
Closest atoms and distances in Å follow each position.
Atoms (fractional coordinates):
K  0.0000  0.0000  0.0000  4 Pt 3.39, 8 Re 3.53
Re  0.0000  0.5000  0.5000  2 Ir 2.40
Re  0.5000  0.0000  0.5000  2 Ir 2.40
Ir  0.5000  0.5000  0.5000  4 Re 2.40, 2 Pt 2.59
Pt  0.5000  0.5000  0.0000  2 Ir 2.59

***

[9]
## PaAl3Cu4O12 (PBE)

Data for an optimized crystal structure of PaAl3Cu4O12.

Density ... 6.378 Mg/m³
Formation energy (no corrections) ... -1.67 eV per atom
Electronic total energy ... -6.50 eV per atom
Total moment ... 0.00 μB/f.u.

Cell lengths 6.3532, 6.3532, 6.3532 Å; angles 109.47, 109.47, 109.47 degrees
Closest atoms and distances in Å follow each position.
Atoms (fractional coordinates):
Pa  0.0000  0.0000  0.0000  12 O 2.58
Al  0.0000  0.5000  0.5000  4 O 1.86
Al  0.5000  0.0000  0.5000  4 O 1.86
Al  0.5000  0.5000  0.0000  4 O 1.86
Cu  0.0000  0.0000  0.5000  6 O 1.98
Cu  0.0000  0.5000  0.0000  6 O 1.98
Cu  0.5000  0.0000  0.0000  6 O 1.98
Cu  0.5000  0.5000  0.5000  6 O 1.98
O  0.1422  0.8330  0.3092  1 Al 1.86, 2 Cu 1.98
O  0.1670  0.3092  0.4763  1 Al 1.86, 2 Cu 1.98
O  0.1670  0.6908  0.8578  1 Al 1.86, 2 Cu 1.98
O  0.3092  0.1422  0.8330  1 Al 1.86, 2 Cu 1.98
O  0.3092  0.4763  0.1670  1 Al 1.86, 2 Cu 1.98
O  0.4763  0.1670  0.3092  1 Al 1.86, 2 Cu 1.98
O  0.5237  0.8330  0.6908  1 Al 1.86, 2 Cu 1.98
O  0.6908  0.5237  0.8330  1 Al 1.86, 2 Cu 1.98
O  0.6908  0.8578  0.1670  1 Al 1.86, 2 Cu 1.98
O  0.8330  0.3092  0.1422  1 Al 1.86, 2 Cu 1.98
O  0.8330  0.6908  0.5237  1 Al 1.86, 2 Cu 1.98
O  0.8578  0.1670  0.6908  1 Al 1.86, 2 Cu 1.98

***

- total moment of number 5 (BiSb2Pd7)?
  0.00 μB/f.u.